No. 1
This record from the Alexandria database describes a geometry-optimized La2In6CuRu structure. The functional is PBE.

Cell lengths 7.4776, 9.5951, 7.1542 Å; angles 90.00, 90.00, 90.00 degrees
Space group Pmmn (No. 59, origin choice 2)
One atom of each set of equivalent atoms:
La 0.2500 0.0075 0.2311 x4
In 0.0471 0.2500 0.9194 x4
In 0.0558 0.7500 0.5544 x4
In 0.2500 0.0061 0.7394 x4
Cu 0.2500 0.2500 0.5767 x2
Ru 0.2500 0.7500 0.8894 x2

Computed properties:
- DOS at the Fermi energy (states/eV/f.u.) = 6.9
- energy relative to the elements (eV per atom) = -0.203



No. 2
This record from the Alexandria database describes a geometry-optimized La2InCuS5 structure. The functional is PBE.

Cell lengths 3.9677, 16.7244, 11.7402 Å; angles 90.00, 90.00, 90.00 degrees
Space group Cmc2_1 (No. 36)
One atom of each set of equivalent atoms:
La 0.0000 0.1112 0.0000 x4
La 0.0000 0.1226 0.6152 x4
In 0.0000 0.1917 0.3150 x4
Cu 0.0000 0.4982 0.2939 x4
S 0.0000 0.0417 0.3697 x4
S 0.0000 0.2899 0.9714 x4
S 0.0000 0.3014 0.6608 x4
S 0.0000 0.3532 0.3126 x4
S 0.0000 0.4981 0.5986 x4

Computed properties:
- DOS at the Fermi energy (states/eV/f.u.) = 0.1
- ΔE to the lowest computed polymorph (meV per atom) = 36
- E_form (uncorrected) (eV/f.u.) = -12.627



No. 3
This record from the Alexandria database describes a geometry-optimized La2InCuS5 structure. The functional is PBE.

Cell lengths 11.6526, 3.9720, 16.9102 Å; angles 90.00, 90.00, 90.00 degrees
Space group Pnma (No. 62)
One atom of each set of equivalent atoms:
La 0.0208 0.2500 0.1784 x4
La 0.1358 0.7500 0.5928 x4
In 0.1941 0.7500 0.3605 x4
Cu 0.0859 0.7500 0.9991 x4
S 0.0141 0.2500 0.6946 x4
S 0.1007 0.2500 0.9265 x4
S 0.1116 0.2500 0.4625 x4
S 0.1827 0.7500 0.1159 x4
S 0.2401 0.7500 0.7720 x4

Computed properties:
- ΔE to the lowest computed polymorph (meV per atom) = 0
- E_form (uncorrected) (eV/f.u.) = -12.949